Density functional theory data (PBE) for an optimized crystal structure of FeNi3H.

abc: 4.149 5.038 4.450
angles: 90.00 90.26 90.00
Fractional coordinates of all 10 atoms:
Fe1 0.243 0.250 0.348
Fe2 0.757 0.750 0.652
Ni1 0.246 0.001 0.833
Ni2 0.246 0.499 0.833
Ni3 0.246 0.750 0.343
Ni4 0.754 0.250 0.657
Ni5 0.754 0.501 0.167
Ni6 0.754 0.999 0.167
H1 0.486 0.750 0.012
H2 0.514 0.250 0.988

Calculated values
Magnetization in Bohr magnetons per cell: 8.3
Volume in Å³ per atom: 9.3
E_tot in hartree per atom: -0.2163
Symmetry: P2_1/m (11)


Density functional theory data (PBE) for an optimized crystal structure of CaY2TcC.

abc: 5.132 5.132 4.097
angles: 90.00 90.00 90.00
Fractional coordinates of all 5 atoms:
Ca1 0.000 0.000 0.000
Y1 0.000 0.500 0.500
Y2 0.500 0.000 0.500
Tc1 0.500 0.500 0.000
C1 0.500 0.500 0.500

Calculated values
Magnetization in Bohr magnetons per cell: 0.0
Energy of formation from the pure elements in meV per atom: -23
Volume in Å³ per atom: 21.6
Symmetry: P4/mmm (123)


Density functional theory data (PBE) for an optimized crystal structure of TiCoIrRh.

abc: 4.293 4.293 4.293
angles: 60.00 60.00 60.00
Fractional coordinates of all 4 atoms:
Ti1 0.000 0.000 0.000
Co1 0.500 0.500 0.500
Ir1 0.250 0.250 0.250
Rh1 0.750 0.750 0.750

Calculated values
Magnetization in Bohr magnetons per cell: 2.7
Energy of formation from the pure elements in meV per atom: -357
Volume in Å³ per atom: 14.0
Symmetry: F-43m (216)